Cs4La3MnO8: relaxed, GGA+U.

abc: 7.1743 7.9762 7.5459
angles: 115.38 118.38 90.00
Site moments in Bohr magnetons follow the coordinates.
Positions (direct):
La: 0.5000 0.5000 0.0000  0.01
La: 0.5000 0.5000 0.5000  0.00
La: 0.0000 0.5000 0.5000  0.00
O: 0.7110 0.6692 0.4220  0.00
O: 0.8211 0.3557 0.0583  -0.04
O: 0.2371 0.3557 0.0583  -0.04
O: 0.7629 0.6443 0.9417  -0.04
O: 0.2890 0.3308 0.5780  0.00
O: 0.2684 0.7075 0.5367  0.04
O: 0.1789 0.6443 0.9417  -0.04
O: 0.7316 0.2925 0.4633  0.04
Mn: 0.0000 0.5000 0.0000  3.98
Cs: 0.0000 0.0000 0.5000  0.00
Cs: 0.5000 0.0000 0.0000  0.00
Cs: 0.0000 0.0000 0.0000  0.00
Cs: 0.5000 0.0000 0.5000  0.00

* total energy: -6.30 eV/atom
* size of the total moment: 4.08 μB/cell